Compound: CeNdEr
Source: Alexandria via LeMat-Bulk
Functional: PBE
Structure: optimized geometry

## Properties
* ΔE to the lowest computed polymorph: 563 meV/atom
* size of the total moment: 0.00 μB per formula unit
* total DFT energy (no corrections): -4.450 eV/atom
* DFT formation energy: 0.638 eV/atom
* space group: P2_13, No. 198

abc: 7.349 7.349 7.349
angles: 90.00 90.00 90.00
Fractional coordinates of all 12 atoms:
1 Ce 0.199 0.301 0.699
2 Ce 0.301 0.699 0.199
3 Ce 0.699 0.199 0.301
4 Ce 0.801 0.801 0.801
5 Nd 0.061 0.561 0.939
6 Nd 0.439 0.439 0.439
7 Nd 0.561 0.939 0.061
8 Nd 0.939 0.061 0.561
9 Er 0.109 0.109 0.109
10 Er 0.391 0.891 0.609
11 Er 0.609 0.391 0.891
12 Er 0.891 0.609 0.391